Run w
## TaAuCl2 (PBE)

Data for a geometry-optimized TaAuCl2 structure.

The space group is Immm (No. 71) and the conventional cell measures 2.948, 5.021 and 13.757 Å, with angles of 90.00, 90.00 and 90.00 degrees. The asymmetric unit holds Ta at (0.000, 0.000, 0.000), Au at (0.000, 0.000, 0.500) and Cl at (0.000, 0.500, 0.353).

The value obtained for the magnetization is 0.00 μB per formula unit. The value obtained for the density of states at the Fermi level is 0.2446 states/eV per atom.

=====

Run x
## TaAuCl2 (PBE)

Data for a geometry-optimized TaAuCl2 structure.

The space group is Pm (No. 6) and the conventional cell measures 4.821, 3.032 and 7.677 Å, with angles of 90.00, 108.13 and 90.00 degrees. The asymmetric unit holds Ta at (0.000, 0.000, 0.000), Au at (0.480, 0.500, 0.960), Cl at (0.135, 0.500, 0.274) and Cl at (0.845, 0.000, 0.687).

The value obtained for the magnetization is 0.00 μB per formula unit. The value obtained for the density of states at the Fermi level is 0.3847 states/eV per atom.

=====

Run y
## TaAuCl2 (PBE)

Data for a geometry-optimized TaAuCl2 structure.

The space group is C2/m (No. 12) and the conventional cell measures 5.964, 8.852 and 3.058 Å, with angles of 90.00, 113.24 and 90.00 degrees. The asymmetric unit holds Ta at (0.000, 0.000, 0.000), Au at (0.000, 0.500, 0.000) and Cl at (0.250, 0.250, 0.000).

The value obtained for the magnetization is 0.00 μB per formula unit. The value obtained for the density of states at the Fermi level is 0.5132 states/eV per atom.

=====

Run z
## TaAuCl2 (PBE)

Data for a geometry-optimized TaAuCl2 structure.

The space group is P4/mmm (No. 123) and the conventional cell measures 4.854, 4.854 and 3.177 Å, with angles of 90.00, 90.00 and 90.00 degrees. The asymmetric unit holds Ta at (0.000, 0.000, 0.000), Au at (0.500, 0.500, 0.000) and Cl at (0.000, 0.500, 0.500).

The value obtained for the magnetization is 1.86 μB per formula unit. The value obtained for the density of states at the Fermi level is 0.9368 states/eV per atom.

=====

Q: Which of them is the most stable? A: run x.

=====

Run w
## TaAu3Cl (PBE)

Data for a geometry-optimized TaAu3Cl structure.

The space group is Pm-3m (No. 221) and the conventional cell measures 4.820, 4.820 and 4.820 Å, with angles of 90.00, 90.00 and 90.00 degrees. The asymmetric unit holds Ta at (0.000, 0.000, 0.000), Au at (0.000, 0.500, 0.500) and Cl at (0.500, 0.500, 0.500).

The value obtained for the magnetization is 2.49 μB per formula unit. The value obtained for the density of states at the Fermi level is 0.8273 states/eV per atom.

=====

Run x
## TaAu3Cl (PBE)

Data for a geometry-optimized TaAu3Cl structure.

The space group is Pm-3m (No. 221) and the conventional cell measures 5.174, 5.174 and 5.174 Å, with angles of 90.00, 90.00 and 90.00 degrees. The asymmetric unit holds Ta at (0.000, 0.000, 0.000), Au at (0.000, 0.000, 0.500) and Cl at (0.500, 0.500, 0.500).

The value obtained for the magnetization is 0.00 μB per formula unit. The value obtained for the density of states at the Fermi level is 0.8401 states/eV per atom.

=====

Q: Which of them is the most stable? A: run x.

=====

Run w
## TaAu2Cl (PBE)

Data for a geometry-optimized TaAu2Cl structure.

The space group is Cm (No. 8) and the conventional cell measures 8.845, 3.003 and 5.733 Å, with angles of 90.00, 102.59 and 90.00 degrees. The asymmetric unit holds Ta at (0.000, 0.000, 0.000), Au at (0.008, 0.500, 0.455), Au at (0.267, 0.000, 0.701) and Cl at (0.234, 0.500, 0.146).

The value obtained for the magnetization is 0.00 μB per formula unit. The value obtained for the density of states at the Fermi level is 0.3891 states/eV per atom.

=====

Run x
## TaAu2Cl (PBE)

Data for a geometry-optimized TaAu2Cl structure.

The space group is Pm (No. 6) and the conventional cell measures 2.985, 3.023 and 9.563 Å, with angles of 90.00, 98.83 and 90.00 degrees. The asymmetric unit holds Ta at (0.000, 0.000, 0.000), Au at (0.207, 0.000, 0.420), Au at (0.601, 0.500, 0.205) and Cl at (0.901, 0.500, 0.799).

The value obtained for the magnetization is 0.00 μB per formula unit. The value obtained for the density of states at the Fermi level is 0.3614 states/eV per atom.

=====

Q: Which of them is the most stable? A: run x.

=====

Run w
## TaAu2Cl (PBE)

Data for a geometry-optimized TaAu2Cl structure.

The space group is Fm-3m (No. 225) and the conventional cell measures 6.722, 6.722 and 6.722 Å, with angles of 90.00, 90.00 and 90.00 degrees. The asymmetric unit holds Ta at (0.000, 0.000, 0.000), Au at (0.250, 0.250, 0.250) and Cl at (0.000, 0.000, 0.500).

The value obtained for the magnetization is 0.00 μB per formula unit. The value obtained for the density of states at the Fermi level is 1.0786 states/eV per atom.

=====

Run x
## TaAu2Cl (PBE)

Data for a geometry-optimized TaAu2Cl structure.

The space group is Cmmm (No. 65) and the conventional cell measures 4.296, 4.344 and 8.061 Å, with angles of 90.00, 90.00 and 90.00 degrees. The asymmetric unit holds Ta at (0.000, 0.000, 0.000), Au at (0.000, 0.500, 0.234) and Cl at (0.000, 0.000, 0.500).

The value obtained for the magnetization is 0.00 μB per formula unit. The value obtained for the density of states at the Fermi level is 0.7508 states/eV per atom.

=====

Q: Which of them is the most stable? A: run x.